DFT (PBE) results for an optimized crystal structure of ZnAgTe2.

Results
E: -2.4519 eV/atom
Formation energy from raw total energies: 14 kJ per mole of atoms
Relative energy among the computed polymorphs: 329 meV/atom

Lattice parameters (Å, degrees): 10.923 10.923 10.923 17.16 17.16 17.16
Atoms (fractional coordinates):
Zn (0.000, 0.000, 0.000)
Ag (0.273, 0.273, 0.273)
Te (0.528, 0.528, 0.528)
Te (0.739, 0.739, 0.739)


DFT (PBE) results for an optimized crystal structure of ZnAgTe2.

Results
E: -2.7810 eV/atom
Formation energy from raw total energies: -17 kJ per mole of atoms
Relative energy among the computed polymorphs: 0 meV/atom

Lattice parameters (Å, degrees): 7.574 7.574 7.574 130.63 130.63 72.41
Atoms (fractional coordinates):
Zn (0.000, 0.000, 0.000)
Zn (0.750, 0.250, 0.500)
Ag (0.250, 0.750, 0.500)
Ag (0.500, 0.500, 0.000)
Te (0.111, 0.625, 0.986)
Te (0.375, 0.361, 0.486)
Te (0.639, 0.125, 0.014)
Te (0.875, 0.889, 0.514)


DFT (PBE) results for an optimized crystal structure of ZnAgTe2.

Results
E: -2.3597 eV/atom
Formation energy from raw total energies: 23 kJ per mole of atoms
Relative energy among the computed polymorphs: 421 meV/atom

Lattice parameters (Å, degrees): 5.311 5.311 5.311 125.65 125.65 80.46
Atoms (fractional coordinates):
Zn (0.000, 0.000, 0.000)
Ag (0.500, 0.500, 0.000)
Te (0.250, 0.750, 0.500)
Te (0.750, 0.250, 0.500)


DFT (PBE) results for an optimized crystal structure of ZnAgTe4.

Results
E: -2.2729 eV/atom
Formation energy from raw total energies: 49 kJ per mole of atoms

Lattice parameters (Å, degrees): 6.386 6.386 6.386 60.00 60.00 60.00
Atoms (fractional coordinates):
Zn (0.000, 0.000, 0.000)
Ag (0.750, 0.750, 0.750)
Te (0.374, 0.374, 0.374)
Te (0.374, 0.374, 0.877)
Te (0.374, 0.877, 0.374)
Te (0.877, 0.374, 0.374)